1.
# Ba2CuGe2 (PBE, optimized geometry)
# * final energy: -0.1329 hartree per atom
# * ΔE_f: -182 meV/atom
# * polymorph energy (0 for the lowest one): 137 meV/atom
# * spin magnetization: 0.0 μB per formula unit
data_Ba2CuGe2
_space_group_name_H-M_alt 'P 4/m b m'
_space_group_IT_number 127
_space_group_name_Hall '-P 4 2ab'
_cell_length_a 7.381
_cell_length_b 7.381
_cell_length_c 5.210
_cell_angle_alpha 90.00
_cell_angle_beta 90.00
_cell_angle_gamma 90.00
loop_
_atom_site_label
_atom_site_fract_x
_atom_site_fract_y
_atom_site_fract_z
Ba1 0.167 0.333 0.000
Cu1 0.000 0.000 0.500
Ge1 0.134 0.634 0.500

***

2.
# Li4Sc3SbS8 (PBE, optimized geometry)
# * formation energy (no corrections): -1.4844 eV/atom
# * final energy: -0.2011 hartree per atom
# * spin magnetization: 0.0 μB per formula unit
data_Li4Sc3SbS8
_space_group_name_H-M_alt 'R -3 m'
_space_group_IT_number 166
_space_group_name_Hall '-R 3 2"'
_cell_length_a 7.5227
_cell_length_b 7.5227
_cell_length_c 18.3100
_cell_angle_alpha 90.00
_cell_angle_beta 90.00
_cell_angle_gamma 120.00
loop_
_atom_site_label
_atom_site_fract_x
_atom_site_fract_y
_atom_site_fract_z
Li1 0.0000 0.0000 0.0000
Li2 0.0000 0.5000 0.0000
Sc1 0.0000 0.5000 0.5000
Sb1 0.0000 0.0000 0.5000
S1 0.0000 0.0000 0.2464
S2 0.0111 0.5055 0.7521

***

3.
# AgAu5 (PBE, optimized geometry)
# * final energy: -0.1175 hartree per atom
# * ΔE_f: 9 meV/atom
# * polymorph energy (0 for the lowest one): 31 meV/atom
# * spin magnetization: 0.0 μB per formula unit
data_AgAu5
_space_group_name_H-M_alt 'P -6 m 2'
_space_group_IT_number 187
_space_group_name_Hall 'P -6 2'
_cell_length_a 2.9449
_cell_length_b 2.9449
_cell_length_c 14.4440
_cell_angle_alpha 90.00
_cell_angle_beta 90.00
_cell_angle_gamma 120.00
loop_
_atom_site_label
_atom_site_fract_x
_atom_site_fract_y
_atom_site_fract_z
Ag1 0.0000 0.0000 0.0000
Au1 0.0000 0.0000 0.3328
Au2 0.6667 0.3333 0.1649
Au3 0.6667 0.3333 0.5000

***

4.
# TaAlCr (PBE, optimized geometry)
# * final energy: -0.3082 hartree per atom
# * ΔE_f: 20 meV/atom
# * polymorph energy (0 for the lowest one): 209 meV/atom
# * spin magnetization: 0.0 μB per formula unit
data_TaAlCr
_space_group_name_H-M_alt 'F m m 2'
_space_group_IT_number 42
_space_group_name_Hall 'F 2 -2'
_cell_length_a 3.201
_cell_length_b 4.459
_cell_length_c 12.776
_cell_angle_alpha 90.00
_cell_angle_beta 90.00
_cell_angle_gamma 90.00
loop_
_atom_site_label
_atom_site_fract_x
_atom_site_fract_y
_atom_site_fract_z
Ta1 0.000 0.000 0.000
Al1 0.000 0.000 0.681
Cr1 0.000 0.000 0.336

***

5.
# NaCa2HfS4 (PBE, optimized geometry)
# * formation energy (no corrections): -1.7238 eV/atom
# * final energy: -0.2094 hartree per atom
# * spin magnetization: 0.0 μB per formula unit
data_NaCa2HfS4
_space_group_name_H-M_alt 'P 1 2/m 1'
_space_group_IT_number 10
_space_group_name_Hall '-P 2y'
_cell_length_a 6.706
_cell_length_b 3.863
_cell_length_c 6.851
_cell_angle_alpha 90.00
_cell_angle_beta 108.71
_cell_angle_gamma 90.00
loop_
_atom_site_label
_atom_site_fract_x
_atom_site_fract_y
_atom_site_fract_z
Na1 0.000 0.000 0.000
Ca1 0.500 0.000 0.500
Ca2 0.500 0.500 0.000
Hf1 0.000 0.500 0.500
S1 0.231 0.000 0.732
S2 0.236 0.500 0.267

***

6.
# Ag2SbCl (PBE, optimized geometry)
# * formation energy (no corrections): 0.2249 eV/atom
# * final energy: -0.0990 hartree per atom
# * polymorph energy (0 for the lowest one): 365 meV/atom
# * spin magnetization: 0.0 μB per formula unit
data_Ag2SbCl
_space_group_name_H-M_alt 'I 4/m m m'
_space_group_IT_number 139
_space_group_name_Hall '-I 4 2'
_cell_length_a 4.408
_cell_length_b 4.408
_cell_length_c 9.048
_cell_angle_alpha 90.00
_cell_angle_beta 90.00
_cell_angle_gamma 90.00
loop_
_atom_site_label
_atom_site_fract_x
_atom_site_fract_y
_atom_site_fract_z
Ag1 0.000 0.500 0.250
Sb1 0.000 0.000 0.000
Cl1 0.000 0.000 0.500

***

7.
# EuTh2Ga (PBE, optimized geometry)
# * final energy: -0.2544 hartree per atom
# * ΔE_f: 112 meV/atom
# * polymorph energy (0 for the lowest one): 161 meV/atom
# * spin magnetization: 7.3 μB per formula unit
data_EuTh2Ga
_space_group_name_H-M_alt 'R -3 m'
_space_group_IT_number 166
_space_group_name_Hall '-R 3 2"'
_cell_length_a 3.4612
_cell_length_b 3.4612
_cell_length_c 35.6013
_cell_angle_alpha 90.00
_cell_angle_beta 90.00
_cell_angle_gamma 120.00
loop_
_atom_site_label
_atom_site_fract_x
_atom_site_fract_y
_atom_site_fract_z
Eu1 0.0000 0.0000 0.0000
Th1 0.0000 0.0000 0.0973
Ga1 0.0000 0.0000 0.5000

***

8.
# RbTa3Te2O12 (PBE, optimized geometry)
# * formation energy (no corrections): -2.2181 eV/atom
# * final energy: -0.2904 hartree per atom
# * spin magnetization: 0.0 μB per formula unit
data_RbTa3Te2O12
_space_group_name_H-M_alt 'P b c m'
_space_group_IT_number 57
_space_group_name_Hall '-P 2c 2b'
_cell_length_a 3.978
_cell_length_b 15.352
_cell_length_c 17.767
_cell_angle_alpha 90.00
_cell_angle_beta 90.00
_cell_angle_gamma 90.00
loop_
_atom_site_label
_atom_site_fract_x
_atom_site_fract_y
_atom_site_fract_z
Rb1 0.205 0.074 0.250
Ta1 0.267 0.652 0.069
Ta2 0.274 0.706 0.750
Te1 0.367 0.084 0.597
O1 0.199 0.200 0.750
O2 0.205 0.147 0.067
O3 0.290 0.569 0.523
O4 0.302 0.709 0.168
O5 0.303 0.605 0.674
O6 0.304 0.750 0.000
O7 0.306 0.533 0.128

***

9.
# HRhNF2 (PBE, optimized geometry)
# * final energy: -0.1622 hartree per atom
# * polymorph energy (0 for the lowest one): 0 meV/atom
# * spin magnetization: 0.3 μB per formula unit
data_HRhNF2
_space_group_name_H-M_alt 'P 4/m m m'
_space_group_IT_number 123
_space_group_name_Hall '-P 4 2'
_cell_length_a 4.175
_cell_length_b 4.175
_cell_length_c 3.678
_cell_angle_alpha 90.00
_cell_angle_beta 90.00
_cell_angle_gamma 90.00
loop_
_atom_site_label
_atom_site_fract_x
_atom_site_fract_y
_atom_site_fract_z
H1 0.000 0.000 0.000
Rh1 0.500 0.500 0.500
N1 0.500 0.500 0.000
F1 0.000 0.500 0.500

***

10.
# Pm2Dy7Er2 (PBE, optimized geometry)
# * final energy: -0.1655 hartree per atom
# * ΔE_f: 118 meV/atom
# * polymorph energy (0 for the lowest one): 0 meV/atom
# * spin magnetization: 0.0 μB per formula unit
data_Pm2Dy7Er2
_space_group_name_H-M_alt 'C 1 2/m 1'
_space_group_IT_number 12
_space_group_name_Hall '-C 2y'
_cell_length_a 8.890
_cell_length_b 9.439
_cell_length_c 8.701
_cell_angle_alpha 90.00
_cell_angle_beta 101.90
_cell_angle_gamma 90.00
loop_
_atom_site_label
_atom_site_fract_x
_atom_site_fract_y
_atom_site_fract_z
Pm1 0.000 0.177 0.000
Dy1 0.000 0.500 0.500
Dy2 0.107 0.000 0.356
Dy3 0.237 0.181 0.707
Er1 0.148 0.500 0.904

***

11.
# CsTi2FeTc (PBE, optimized geometry)
# * final energy: -0.2020 hartree per atom
# * ΔE_f: 1597 meV/atom
# * spin magnetization: 1.6 μB per formula unit
data_CsTi2FeTc
_space_group_name_H-M_alt 'P 4/m m m'
_space_group_IT_number 123
_space_group_name_Hall '-P 4 2'
_cell_length_a 4.571
_cell_length_b 4.571
_cell_length_c 5.220
_cell_angle_alpha 90.00
_cell_angle_beta 90.00
_cell_angle_gamma 90.00
loop_
_atom_site_label
_atom_site_fract_x
_atom_site_fract_y
_atom_site_fract_z
Cs1 0.000 0.000 0.000
Ti1 0.000 0.500 0.500
Fe1 0.000 0.000 0.500
Tc1 0.500 0.500 0.000

***

12.
# Mg2Tl2Ag (PBE, optimized geometry)
# * final energy: -0.0777 hartree per atom
# * ΔE_f: 40 meV/atom
# * polymorph energy (0 for the lowest one): 0 meV/atom
# * spin magnetization: 0.0 μB per formula unit
data_Mg2Tl2Ag
_space_group_name_H-M_alt 'P 4/m b m'
_space_group_IT_number 127
_space_group_name_Hall '-P 4 2ab'
_cell_length_a 7.464
_cell_length_b 7.464
_cell_length_c 4.385
_cell_angle_alpha 90.00
_cell_angle_beta 90.00
_cell_angle_gamma 90.00
loop_
_atom_site_label
_atom_site_fract_x
_atom_site_fract_y
_atom_site_fract_z
Mg1 0.149 0.351 0.000
Tl1 0.161 0.661 0.500
Ag1 0.000 0.000 0.000

***

13.
# Bi2AsS (PBE, optimized geometry)
# * formation energy (no corrections): -0.0587 eV/atom
# * final energy: -0.1541 hartree per atom
# * polymorph energy (0 for the lowest one): 0 meV/atom
# * spin magnetization: 0.0 μB per formula unit
data_Bi2AsS
_space_group_name_H-M_alt 'R -3 m'
_space_group_IT_number 166
_space_group_name_Hall '-R 3 2"'
_cell_length_a 4.0467
_cell_length_b 4.0467
_cell_length_c 22.5007
_cell_angle_alpha 90.00
_cell_angle_beta 90.00
_cell_angle_gamma 120.00
loop_
_atom_site_label
_atom_site_fract_x
_atom_site_fract_y
_atom_site_fract_z
Bi1 0.0000 0.0000 0.2493
As1 0.0000 0.0000 0.5000
S1 0.0000 0.0000 0.0000

***

14.
# Hg3SeS2 (PBE, optimized geometry)
# * formation energy (no corrections): -0.1537 eV/atom
# * final energy: -0.0831 hartree per atom
# * polymorph energy (0 for the lowest one): 3 meV/atom
# * spin magnetization: 0.0 μB per formula unit
data_Hg3SeS2
_space_group_name_H-M_alt 'C m c 21'
_space_group_IT_number 36
_space_group_name_Hall 'C 2c -2'
_cell_length_a 12.912
_cell_length_b 7.450
_cell_length_c 7.030
_cell_angle_alpha 90.00
_cell_angle_beta 90.00
_cell_angle_gamma 90.00
loop_
_atom_site_label
_atom_site_fract_x
_atom_site_fract_y
_atom_site_fract_z
Hg1 0.000 0.176 0.000
Hg2 0.171 0.339 0.516
Se1 0.000 0.170 0.386
S1 0.168 0.335 0.887

***

15.
# Ti4VRu (PBE, optimized geometry)
# * final energy: -0.2955 hartree per atom
# * ΔE_f: 287 meV/atom
# * spin magnetization: 0.0 μB per formula unit
data_Ti4VRu
_space_group_name_H-M_alt 'C 1 2/m 1'
_space_group_IT_number 12
_space_group_name_Hall '-C 2y'
_cell_length_a 5.996
_cell_length_b 5.996
_cell_length_c 5.991
_cell_angle_alpha 90.00
_cell_angle_beta 90.07
_cell_angle_gamma 90.00
loop_
_atom_site_label
_atom_site_fract_x
_atom_site_fract_y
_atom_site_fract_z
Ti1 0.250 0.250 0.246
V1 0.000 0.000 0.000
Ru1 0.000 0.500 0.500

***

16.
# Al2TlPt2 (PBE, optimized geometry)
# * final energy: -0.1845 hartree per atom
# * ΔE_f: -634 meV/atom
# * polymorph energy (0 for the lowest one): 0 meV/atom
# * spin magnetization: 0.0 μB per formula unit
data_Al2TlPt2
_space_group_name_H-M_alt 'I 4/m m m'
_space_group_IT_number 139
_space_group_name_Hall '-I 4 2'
_cell_length_a 3.959
_cell_length_b 3.959
_cell_length_c 11.933
_cell_angle_alpha 90.00
_cell_angle_beta 90.00
_cell_angle_gamma 90.00
loop_
_atom_site_label
_atom_site_fract_x
_atom_site_fract_y
_atom_site_fract_z
Al1 0.000 0.500 0.250
Tl1 0.000 0.000 0.000
Pt1 0.000 0.000 0.379

***

17.
# Ac3Sn2Au3 (PBE, optimized geometry)
# * final energy: -0.1669 hartree per atom
# * ΔE_f: -771 meV/atom
# * spin magnetization: 0.0 μB per formula unit
data_Ac3Sn2Au3
_space_group_name_H-M_alt 'C m c m'
_space_group_IT_number 63
_space_group_name_Hall '-C 2c 2'
_cell_length_a 4.732
_cell_length_b 11.999
_cell_length_c 16.340
_cell_angle_alpha 90.00
_cell_angle_beta 90.00
_cell_angle_gamma 90.00
loop_
_atom_site_label
_atom_site_fract_x
_atom_site_fract_y
_atom_site_fract_z
Ac1 0.000 0.086 0.104
Ac2 0.000 0.376 0.250
Sn1 0.000 0.205 0.603
Au1 0.000 0.356 0.750
Au2 0.000 0.390 0.039

***

18.
# Tb3Pm6Sm2Y (PBE, optimized geometry)
# * final energy: -0.1781 hartree per atom
# * ΔE_f: 12 meV/atom
# * spin magnetization: 0.0 μB per formula unit
data_Tb3Pm6Sm2Y
_space_group_name_H-M_alt 'C 1 2/m 1'
_space_group_IT_number 12
_space_group_name_Hall '-C 2y'
_cell_length_a 6.277
_cell_length_b 10.866
_cell_length_c 11.966
_cell_angle_alpha 90.00
_cell_angle_beta 100.03
_cell_angle_gamma 90.00
loop_
_atom_site_label
_atom_site_fract_x
_atom_site_fract_y
_atom_site_fract_z
Tb1 0.000 0.000 0.000
Tb2 0.000 0.333 0.000
Pm1 0.249 0.167 0.249
Pm2 0.249 0.500 0.248
Sm1 0.000 0.167 0.500
Y1 0.000 0.500 0.500

***

19.
# Li3MgAg5 (PBE, optimized geometry)
# * final energy: -0.0905 hartree per atom
# * ΔE_f: -65 meV/atom
# * polymorph energy (0 for the lowest one): 95 meV/atom
# * spin magnetization: 0.0 μB per formula unit
data_Li3MgAg5
_space_group_name_H-M_alt 'I 4/m c m'
_space_group_IT_number 140
_space_group_name_Hall '-I 4 2c'
_cell_length_a 6.337
_cell_length_b 6.337
_cell_length_c 15.285
_cell_angle_alpha 90.00
_cell_angle_beta 90.00
_cell_angle_gamma 90.00
loop_
_atom_site_label
_atom_site_fract_x
_atom_site_fract_y
_atom_site_fract_z
Li1 0.000 0.000 0.250
Li2 0.120 0.380 0.000
Mg1 0.000 0.500 0.250
Ag1 0.000 0.000 0.000
Ag2 0.230 0.270 0.363

***

20.
# CdAgRh2 (PBE, optimized geometry)
# * final energy: -0.1643 hartree per atom
# * ΔE_f: 146 meV/atom
# * spin magnetization: 0.0 μB per formula unit
data_CdAgRh2
_space_group_name_H-M_alt 'I m m 2'
_space_group_IT_number 44
_space_group_name_Hall 'I 2 -2'
_cell_length_a 2.921
_cell_length_b 4.771
_cell_length_c 9.560
_cell_angle_alpha 90.00
_cell_angle_beta 90.00
_cell_angle_gamma 90.00
loop_
_atom_site_label
_atom_site_fract_x
_atom_site_fract_y
_atom_site_fract_z
Cd1 0.000 0.000 0.000
Ag1 0.000 0.500 0.765
Rh1 0.000 0.000 0.521
Rh2 0.000 0.500 0.245